Entry 1:
The following is a DFT calculation (PBE) of a relaxed La2Tm2Pb3 crystal.

Unit cell a=5.003 b=6.142 c=8.885 alpha=98.08 beta=90.09 gamma=114.02
Space group P-1 (No. 2)
Symmetry-distinct sites (fractional):
La  0.128  0.254  0.349 x2
Tm  0.354  0.707  0.064 x2
Pb  0.000  0.000  0.000 x1
Pb  0.195  0.391  0.725 x2

The total magnetization comes out at 0.0 μB per cell. As for the total energy: -4.6506 eV/atom.

***

Entry 2:
The following is a DFT calculation (PBE) of a relaxed CaAc2Mg3In4 crystal.

Unit cell a=4.774 b=4.774 c=12.992 alpha=90.00 beta=90.00 gamma=90.00
Space group P-4m2 (No. 115)
Symmetry-distinct sites (fractional):
Ca  0.000  0.000  0.000 x1
Ac  0.000  0.500  0.731 x2
Mg  0.000  0.500  0.369 x2
Mg  0.500  0.500  0.000 x1
In  0.000  0.000  0.500 x1
In  0.000  0.500  0.155 x2
In  0.500  0.500  0.500 x1

The total magnetization comes out at 0.0 μB per cell. As for the total energy: -2.9008 eV/atom.